# 1
Computed, not measured: a geometry-optimized Dy8Ag2Ru structure at the GGA-PBE level of DFT.

The value obtained for the total energy is -107.83 eV/cell. For the density of states at the Fermi level, the calculation gives 10.18 states/eV/f.u. As for the formation energy: -2.119 eV per formula unit. The volume is 26.80 A^3/atom.

Unit cell a=17.329 b=5.224 c=6.841 alpha=90.00 beta=107.81 gamma=90.00
Space group C2/m (No. 12)
Asymmetric unit:
Dy  0.027  0.000  0.293
Dy  0.090  0.500  0.931
Dy  0.159  0.500  0.468
Dy  0.198  0.000  0.804
Ag  0.184  0.000  0.213
Ru  0.000  0.500  0.500

# 2
Computed, not measured: a geometry-optimized Sm2DyYAs4 structure at the GGA-PBE level of DFT.

The value obtained for the total energy is -51.39 eV/cell. For the density of states at the Fermi level, the calculation gives 0.89 states/eV/f.u. As for the formation energy: -12.289 eV per formula unit. The volume is 25.61 A^3/atom.

Unit cell a=7.217 b=4.171 c=7.220 alpha=90.00 beta=109.47 gamma=90.00
Space group P2/m (No. 10)
Asymmetric unit:
Sm  0.000  0.000  0.000
Sm  0.000  0.500  0.500
Dy  0.500  0.000  0.500
Y  0.500  0.500  0.000
As  0.256  0.000  0.751
As  0.256  0.500  0.252